VASP calculation (PBE) on a relaxed LuZnPt crystal.

Structure (extended XYZ):
```
12
Lattice="6.975 0.000 0.000 0.000 3.933 0.000 0.000 0.000 8.267" Properties=species:S:1:pos:R:3 pbc="T T T"
Lu 0.371 0.983 1.526
Lu 3.117 2.950 5.659
Lu 3.858 0.983 2.608
Lu 6.604 2.950 6.742
Zn 0.895 0.983 4.666
Zn 2.592 2.950 0.532
Zn 4.383 0.983 7.735
Zn 6.079 2.950 3.602
Pt 1.686 0.983 7.232
Pt 1.802 2.950 3.099
Pt 5.173 0.983 5.169
Pt 5.289 2.950 1.035
```

uncorrected energy = -59.437 eV for the cell shown
total magnetization = 0.0000 μB/atom
volume = 56.7 Å³/f.u.

---

VASP calculation (PBE) on a relaxed NbNiSn crystal.

Structure (extended XYZ):
```
6
Lattice="-2.112 2.790 4.300 2.112 -2.790 4.300 2.112 2.790 -4.300" Properties=species:S:1:pos:R:3 pbc="T T T"
Nb 0.000 1.391 0.000
Nb 0.000 4.189 0.000
Ni 2.112 0.000 1.215
Ni 0.000 2.790 3.086
Sn 0.000 0.000 2.694
Sn 0.000 0.000 5.907
```

uncorrected energy = -40.660 eV for the cell shown
total magnetization = 0.0000 μB/atom
volume = 50.7 Å³/f.u.

---

VASP calculation (PBE) on a relaxed HoAgGePd crystal.

Structure (extended XYZ):
```
4
Lattice="0.000 3.370 3.370 3.370 0.000 3.370 3.370 3.370 0.000" Properties=species:S:1:pos:R:3 pbc="T T T"
Ho 0.000 0.000 0.000
Ag 3.370 3.370 3.370
Ge 5.055 5.055 5.055
Pd 1.685 1.685 1.685
```

uncorrected energy = -19.199 eV for the cell shown
total magnetization = 0.0000 μB/atom
volume = 76.5 Å³/f.u.

---

VASP calculation (PBE) on a relaxed ErNp3Tl3Se8 crystal.

Structure (extended XYZ):
```
15
Lattice="4.173 2.409 7.784 -4.173 2.409 7.784 0.000 -4.819 7.784" Properties=species:S:1:pos:R:3 pbc="T T T"
Er 0.000 0.000 0.000
Np -2.087 -1.205 7.784
Np -2.087 1.205 15.569
Np 0.000 2.409 7.784
Tl -4.173 0.000 11.676
Tl -2.087 1.205 3.892
Tl 2.087 1.205 3.892
Se 0.000 -2.415 9.348
Se -2.092 1.208 9.348
Se 0.000 0.000 6.206
Se -2.092 -1.208 14.005
Se 2.092 1.208 9.348
Se 0.000 0.000 17.147
Se 2.092 -1.208 14.004
Se 0.000 2.415 14.004
```

total magnetization = 0.7333 μB/atom
ΔE_f (raw) = -16.1 eV/f.u.
volume = 469.6 Å³/f.u.

---

VASP calculation (PBE) on a relaxed K2OsCl6 crystal.

Structure (extended XYZ):
```
18
Lattice="6.711 0.000 0.000 0.000 6.711 0.000 0.000 0.000 13.134" Properties=species:S:1:pos:R:3 pbc="T T T"
K 0.000 0.000 2.192
K 0.000 0.000 10.942
K 3.355 3.355 4.375
K 3.355 3.355 8.759
Os 0.000 0.000 6.567
Os 3.355 3.355 0.000
Cl 1.166 1.166 4.876
Cl 1.166 1.166 8.258
Cl 1.653 5.058 6.567
Cl 1.703 1.703 0.000
Cl 2.189 4.522 1.691
Cl 2.189 4.522 11.443
Cl 4.522 2.189 1.691
Cl 4.522 2.189 11.443
Cl 5.008 5.008 0.000
Cl 5.058 1.653 6.567
Cl 5.545 5.545 4.876
Cl 5.545 5.545 8.258
```

total magnetization = 0.2222 μB/atom
ΔE_f (raw) = -9.8 eV/f.u.
energy relative to the lowest polymorph listed for this composition = 0.0590 eV/atom
volume = 295.8 Å³/f.u.

---

VASP calculation (PBE) on a relaxed LiFe2Ru crystal.

Structure (extended XYZ):
```
4
Lattice="2.522 -4.170 0.000 2.522 4.170 0.000 -0.703 0.000 2.384" Properties=species:S:1:pos:R:3 pbc="T T T"
Li 0.000 0.000 0.000
Fe 0.909 2.085 1.192
Fe 0.909 -2.085 1.192
Ru 2.522 0.000 0.000
```

uncorrected energy = -27.363 eV for the cell shown
total magnetization = 1.3423 μB/atom
volume = 50.1 Å³/f.u.

---

VASP calculation (PBE) on a relaxed TbSm2YSc4 crystal.

Structure (extended XYZ):
```
8
Lattice="4.959 0.000 0.000 0.000 4.959 0.000 0.000 0.000 9.245" Properties=species:S:1:pos:R:3 pbc="T T T"
Tb 0.000 0.000 0.000
Sm 0.000 0.000 4.623
Sm 2.480 2.480 0.000
Y 2.480 2.480 4.623
Sc 0.000 2.480 2.304
Sc 0.000 2.480 6.942
Sc 2.480 0.000 2.304
Sc 2.480 0.000 6.942
```

uncorrected energy = -45.439 eV for the cell shown
total magnetization = 0.0000 μB/atom
volume = 227.4 Å³/f.u.

---

VASP calculation (PBE) on a relaxed CaScZn2 crystal.

Structure (extended XYZ):
```
4
Lattice="0.000 3.458 3.458 3.458 0.000 3.458 3.458 3.458 0.000" Properties=species:S:1:pos:R:3 pbc="T T T"
Ca 0.000 0.000 0.000
Sc 1.729 1.729 1.729
Zn 3.458 3.458 3.458
Zn 5.187 5.187 5.187
```

uncorrected energy = -10.654 eV for the cell shown
total magnetization = 0.0007 μB/atom
volume = 82.7 Å³/f.u.